(1)
## Rb2CdGeAu (PBE-GGA)

Data for an optimized crystal structure of Rb2CdGeAu.

Cell: 6.808 6.808 4.758 Å, 90.00 90.00 90.00°
Sites, in units of the cell vectors:
Rb1 0.500 0.000 0.000
Rb2 0.000 0.500 0.000
Au1 0.000 0.000 0.000
Cd1 0.500 0.500 0.500
Ge1 0.000 0.000 0.500

SG: P4/mmm (123)
DFT formation energy in kJ per mole of atoms: -2
Theoretical density in g/cm3: 4.16

=====

(2)
## NbTl2Te (PBE-GGA)

Data for an optimized crystal structure of NbTl2Te.

Cell: 5.315 5.315 5.315 Å, 60.00 60.00 60.00°
Site moments in Bohr magnetons follow the coordinates.
Sites, in units of the cell vectors:
Nb1 0.000 0.000 0.000  2.11
Tl1 0.750 0.750 0.750  0.01
Tl2 0.250 0.250 0.250  0.01
Te1 0.500 0.500 0.500  -0.07

SG: Fm-3m (225)
Offset from the most stable computed form in eV per atom: 0.289
Theoretical density in g/cm3: 9.84
Uncorrected formation energy in eV/atom: 0.7462

=====

(3)
## SmPu2Pb3 (PBE-GGA)

Data for an optimized crystal structure of SmPu2Pb3.

Cell: 3.492 3.492 13.959 Å, 90.00 90.00 90.00°
Site moments in Bohr magnetons follow the coordinates.
Sites, in units of the cell vectors:
Pu1 0.500 0.500 0.166  5.59
Pu2 0.500 0.500 0.834  5.59
Pb1 0.000 0.000 0.667  -0.02
Pb2 0.000 0.000 0.000  -0.05
Pb3 0.000 0.000 0.333  -0.02
Sm1 0.500 0.500 0.500  0.04

SG: P4/mmm (123)
DFT formation energy in kJ per mole of atoms: -27
Theoretical density in g/cm3: 12.29

=====

Table of DOS at the Fermi energy (states/eV per cell), in record order: 2.788; 3.395; 16.610